The following is a GGA-PBE calculation of PuVMoRu after structural relaxation, from Alexandria.

extended XYZ file:
```
4
Lattice="0.0000 3.1985 3.1985 3.1985 0.0000 3.1985 3.1985 3.1985 0.0000" Properties=species:S:1:pos:R:3 pbc="T T T"
Pu 0.0000 0.0000 0.0000
V 3.1985 3.1985 3.1985
Mo 4.7977 4.7977 4.7977
Ru 1.5992 1.5992 1.5992
```

Output
Space group: No. 216
Spin magnetization, μB per formula unit: 3.8
DFT formation energy, eV per atom: 0.04
Crystal system: cubic
Calculated total energy, eV for the cell shown: -43.42
Fermi-level density of states, states/eV per cell: 5.08



The following is a GGA-PBE calculation of PuMo6S8 after structural relaxation, from Alexandria.

extended XYZ file:
```
15
Lattice="4.5521 2.6282 3.8207 -4.5521 2.6282 3.8207 0.0000 -5.2563 3.8207" Properties=species:S:1:pos:R:3 pbc="T T T"
Pu 0.0000 0.0000 0.0000
Mo -1.5432 -0.1485 4.6011
Mo 0.9002 -1.2622 4.6010
Mo -0.6430 -1.4107 6.8609
Mo 0.6430 1.4107 4.6010
Mo -0.9002 1.2622 6.8609
Mo 1.5432 0.1485 6.8609
S -1.1034 -2.6519 4.7836
S 0.0000 0.0000 2.7575
S -2.8483 -0.3704 6.6784
S -1.7449 2.2815 4.7836
S 1.7449 -2.2815 6.6784
S 2.8483 0.3704 4.7836
S 0.0000 0.0000 8.7045
S 1.1034 2.6519 6.6784
```

Output
Uncorrected formation energy, eV per atom: -0.858
Space group: No. 148
Spin magnetization, μB per formula unit: 4.6
Crystal system: trigonal
Calculated total energy, eV for the cell shown: -125.21
Fermi-level density of states, states/eV per cell: 14.14



The following is a GGA-PBE calculation of Pu3Tl3MoS8 after structural relaxation, from Alexandria.

extended XYZ file:
```
15
Lattice="3.8991 2.2512 7.6242 -3.8991 2.2512 7.6242 0.0000 -4.5023 7.6242" Properties=species:S:1:pos:R:3 pbc="T T T"
Pu -1.9496 -1.1256 7.6242
Pu -1.9496 1.1256 15.2485
Pu 0.0000 2.2512 7.6242
Tl -3.8991 0.0000 11.4364
Tl -1.9496 1.1256 3.8121
Tl 1.9496 1.1256 3.8121
Mo 0.0000 0.0000 0.0000
S 0.0000 -2.4137 9.0565
S -2.0903 1.2068 9.0565
S -2.0903 -1.2068 13.8162
S 0.0000 0.0000 6.1137
S 0.0000 0.0000 16.7591
S 2.0903 1.2068 9.0565
S 2.0903 -1.2068 13.8162
S 0.0000 2.4137 13.8162
```

Output
Uncorrected formation energy, eV per atom: -1.032
Space group: No. 166
Spin magnetization, μB per formula unit: 12.1
Crystal system: trigonal
Calculated total energy, eV for the cell shown: -109.42
Fermi-level density of states, states/eV per cell: 31.63



The following is a GGA-PBE calculation of PuSb2Mo after structural relaxation, from Alexandria.

extended XYZ file:
```
4
Lattice="1.5821 0.9134 10.8622 -1.5821 0.9134 10.8622 0.0000 -1.8269 10.8622" Properties=species:S:1:pos:R:3 pbc="T T T"
Pu 0.0000 0.0000 0.0000
Sb 0.0000 0.0000 13.5571
Sb 0.0000 0.0000 19.0296
Mo 0.0000 0.0000 16.2933
```

Output
Uncorrected formation energy, eV per atom: 0.487
Space group: No. 166
Spin magnetization, μB per formula unit: 4.7
Energy above the lowest structure with this stoichiometry, meV/atom: 658
Crystal system: trigonal
Calculated total energy, eV for the cell shown: -31.46
Fermi-level density of states, states/eV per cell: 8.64



The following is a GGA-PBE calculation of PuSb2Mo after structural relaxation, from Alexandria.

extended XYZ file:
```
4
Lattice="3.3815 0.0000 0.0000 0.0000 3.3815 0.0000 0.0000 0.0000 7.7150" Properties=species:S:1:pos:R:3 pbc="T T T"
Pu 0.0000 0.0000 0.0000
Sb 1.6907 1.6907 2.2521
Sb 1.6907 1.6907 5.4629
Mo 0.0000 0.0000 3.8575
```

Output
Uncorrected formation energy, eV per atom: -0.172
Space group: No. 123
Spin magnetization, μB per formula unit: 6.1
Energy above the lowest structure with this stoichiometry, meV/atom: 0
Crystal system: tetragonal
Calculated total energy, eV for the cell shown: -34.09
Fermi-level density of states, states/eV per cell: 6.59



The following is a GGA-PBE calculation of PuScMo after structural relaxation, from Alexandria.

extended XYZ file:
```
3
Lattice="-1.6733 1.6733 5.6028 1.6733 -1.6733 5.6028 1.6733 1.6733 -5.6028" Properties=species:S:1:pos:R:3 pbc="T T T"
Pu 0.0000 0.0000 0.0000
Sc 0.0000 0.0000 7.9070
Mo 0.0000 0.0000 4.0234
```

Output
Space group: No. 107
Spin magnetization, μB per formula unit: 5.0
Energy above the lowest structure with this stoichiometry, meV/atom: 0
DFT formation energy, eV per atom: 0.20
Crystal system: tetragonal
Calculated total energy, eV for the cell shown: -30.90
Fermi-level density of states, states/eV per cell: 4.66



The following is a GGA-PBE calculation of Pu2Sc6Mo after structural relaxation, from Alexandria.

extended XYZ file:
```
18
Lattice="5.7395 -7.1114 0.0000 5.7395 7.1114 0.0000 -1.3545 0.0000 5.3261" Properties=species:S:1:pos:R:3 pbc="T T T"
Pu 0.8186 0.8768 2.5848
Pu 0.1413 -0.8768 5.2478
Pu 9.9831 0.8768 0.0783
Pu 9.3058 -0.8768 2.7413
Sc 4.3828 4.4158 0.1259
Sc 3.5610 2.8900 2.8494
Sc 4.0127 1.1604 0.3540
Sc 6.4189 4.4158 2.5371
Sc 5.8861 2.8900 5.1397
Sc 3.3355 -1.1604 3.0170
Sc 6.7889 1.1604 2.3090
Sc 4.2383 -2.8900 0.1863
Sc 3.7055 -4.4158 2.7889
Sc 6.1117 -1.1604 4.9721
Sc 6.5634 -2.8900 2.4767
Sc 5.7416 -4.4158 5.2002
Mo 4.7236 0.8156 3.9946
Mo 5.4008 -0.8156 1.3315
```

Output
Space group: No. 15
Spin magnetization, μB per formula unit: 12.5
DFT formation energy, eV per atom: 0.22
Crystal system: monoclinic
Calculated total energy, eV for the cell shown: -151.05
Fermi-level density of states, states/eV per cell: 39.47



The following is a GGA-PBE calculation of PuScMo after structural relaxation, from Alexandria.

extended XYZ file:
```
12
Lattice="9.0781 0.0000 0.0000 0.0000 5.0339 0.0000 0.0000 0.0000 5.6800" Properties=species:S:1:pos:R:3 pbc="T T T"
Pu 1.9626 1.2585 0.6323
Pu 2.5764 3.7755 3.4724
Pu 6.5017 1.2585 2.2077
Pu 7.1155 3.7755 5.0477
Sc 0.5026 1.2585 3.5441
Sc 4.0365 3.7755 0.7041
Sc 5.0416 1.2585 4.9760
Sc 8.5755 3.7755 2.1359
Mo 0.6852 3.7755 5.1474
Mo 3.8539 1.2585 2.3074
Mo 5.2242 3.7755 3.3727
Mo 8.3929 1.2585 0.5327
```

Output
Space group: No. 62
Spin magnetization, μB per formula unit: 5.0
Energy above the lowest structure with this stoichiometry, meV/atom: 8
DFT formation energy, eV per atom: 0.21
Crystal system: orthorhombic
Calculated total energy, eV for the cell shown: -123.50
Fermi-level density of states, states/eV per cell: 28.88



The following is a GGA-PBE calculation of PuScTcMo after structural relaxation, from Alexandria.

extended XYZ file:
```
4
Lattice="0.0000 3.3010 3.3010 3.3010 0.0000 3.3010 3.3010 3.3010 0.0000" Properties=species:S:1:pos:R:3 pbc="T T T"
Pu 0.0000 0.0000 0.0000
Sc 3.3010 3.3010 3.3010
Tc 1.6505 1.6505 1.6505
Mo 4.9514 4.9514 4.9514
```

Output
Space group: No. 216
Spin magnetization, μB per formula unit: 3.2
DFT formation energy, eV per atom: 0.03
Crystal system: cubic
Calculated total energy, eV for the cell shown: -41.73
Fermi-level density of states, states/eV per cell: 6.39



The following is a GGA-PBE calculation of PuMo6Se8 after structural relaxation, from Alexandria.

extended XYZ file:
```
15
Lattice="4.7388 2.7359 4.0038 -4.7388 2.7359 4.0038 0.0000 -5.4719 4.0038" Properties=species:S:1:pos:R:3 pbc="T T T"
Pu 0.0000 0.0000 0.0000
Mo -0.9050 -1.2658 4.8746
Mo -0.6437 1.4167 4.8746
Mo -1.5487 0.1509 7.1366
Mo 1.5487 -0.1509 4.8746
Mo 0.6437 -1.4167 7.1366
Mo 0.9050 1.2658 7.1366
Se -3.0115 0.3711 5.0143
Se 0.0000 0.0000 2.8809
Se -1.8271 -2.4225 6.9969
Se 1.1844 -2.7936 5.0143
Se -1.1844 2.7936 6.9969
Se 1.8271 2.4225 5.0143
Se 0.0000 0.0000 9.1304
Se 3.0115 -0.3711 6.9969
```

Output
Uncorrected formation energy, eV per atom: -0.661
Space group: No. 148
Spin magnetization, μB per formula unit: 4.9
Crystal system: trigonal
Calculated total energy, eV for the cell shown: -117.11
Fermi-level density of states, states/eV per cell: 15.30



The following is a GGA-PBE calculation of PuMoSe4 after structural relaxation, from Alexandria.

extended XYZ file:
```
12
Lattice="-4.5310 4.5310 3.8980 4.5310 -4.5310 3.8980 4.5310 4.5310 -3.8980" Properties=species:S:1:pos:R:3 pbc="T T T"
Pu 0.0000 0.0000 0.0000
Pu 0.0000 4.5310 1.9490
Mo 4.5310 0.0000 1.9651
Mo 0.0000 0.0000 3.9141
Se 2.7690 0.0000 0.1943
Se 6.2931 0.0000 0.1943
Se 4.5310 2.7690 -1.7547
Se 0.0000 1.7620 2.1433
Se 1.8507 4.5310 -0.1243
Se 2.6803 0.0000 3.7737
Se 4.5310 2.6803 1.8247
Se 0.0000 1.8507 5.7227
```

Output
Uncorrected formation energy, eV per atom: -0.632
Space group: No. 109
Spin magnetization, μB per formula unit: 6.0
Crystal system: tetragonal
Calculated total energy, eV for the cell shown: -85.79
Fermi-level density of states, states/eV per cell: 14.20



The following is a GGA-PBE calculation of Pu2SiMo after structural relaxation, from Alexandria.

extended XYZ file:
```
4
Lattice="3.5320 0.0000 0.0000 0.0000 3.5320 0.0000 0.0000 0.0000 5.1792" Properties=species:S:1:pos:R:3 pbc="T T T"
Pu 0.0000 1.7660 0.0000
Pu 1.7660 0.0000 0.0000
Si 0.0000 0.0000 2.5896
Mo 1.7660 1.7660 2.5896
```

Output
Uncorrected formation energy, eV per atom: 0.108
Space group: No. 123
Spin magnetization, μB per formula unit: 0.0
Crystal system: tetragonal
Calculated total energy, eV for the cell shown: -44.49
Fermi-level density of states, states/eV per cell: 6.53